Computed, not measured: an optimized crystal structure of BaErCuS3 at the PBE level of DFT.

abc: 7.078 7.078 10.150
angles: 90.00 90.00 147.20
Fractional coordinates of all 12 atoms:
Ba: 0.245 0.755 0.750
Ba: 0.755 0.245 0.250
Er: 0.500 0.500 0.000
Er: 0.500 0.500 0.500
Cu: 0.032 0.968 0.250
Cu: 0.968 0.032 0.750
S: 0.131 0.869 0.061
S: 0.131 0.869 0.439
S: 0.434 0.566 0.250
S: 0.566 0.434 0.750
S: 0.869 0.131 0.561
S: 0.869 0.131 0.939

Output
Raw total energy ... -0.403 Ry per atom


Computed, not measured: an optimized crystal structure of BaErCuSeS2 at the PBE level of DFT.

abc: 7.218 7.218 10.467
angles: 90.00 90.00 147.45
Fractional coordinates of all 12 atoms:
Ba: 0.243 0.757 0.750
Ba: 0.757 0.243 0.250
Er: 0.000 0.000 0.000
Er: 0.000 0.000 0.500
Cu: 0.467 0.533 0.250
Cu: 0.533 0.467 0.750
Se: 0.074 0.926 0.250
Se: 0.926 0.074 0.750
S: 0.374 0.626 0.065
S: 0.374 0.626 0.435
S: 0.626 0.374 0.565
S: 0.626 0.374 0.935

Output
Raw total energy ... -0.390 Ry per atom


Computed, not measured: an optimized crystal structure of BaErCuTeS2 at the PBE level of DFT.

abc: 7.628 7.628 10.897
angles: 90.00 90.00 149.00
Fractional coordinates of all 12 atoms:
Ba: 0.217 0.783 0.750
Ba: 0.783 0.217 0.250
Er: 0.000 0.000 0.000
Er: 0.000 0.000 0.500
Cu: 0.477 0.523 0.250
Cu: 0.523 0.477 0.750
Te: 0.092 0.908 0.250
Te: 0.908 0.092 0.750
S: 0.386 0.614 0.074
S: 0.386 0.614 0.426
S: 0.614 0.386 0.574
S: 0.614 0.386 0.926

Output
Raw total energy ... -0.375 Ry per atom


Computed, not measured: an optimized crystal structure of BaErCuTe2S at the PBE level of DFT.

abc: 7.741 7.741 10.581
angles: 90.00 90.00 148.12
Fractional coordinates of all 12 atoms:
Ba: 0.222 0.778 0.750
Ba: 0.778 0.222 0.250
Er: 0.500 0.500 0.000
Er: 0.500 0.500 0.500
Cu: 0.022 0.978 0.250
Cu: 0.978 0.022 0.750
Te: 0.140 0.860 0.061
Te: 0.140 0.860 0.439
Te: 0.860 0.140 0.561
Te: 0.860 0.140 0.939
S: 0.442 0.558 0.250
S: 0.558 0.442 0.750

Output
Raw total energy ... -0.354 Ry per atom


Computed, not measured: an optimized crystal structure of BaErCuTe2Se at the PBE level of DFT.

abc: 7.778 7.778 10.813
angles: 90.00 90.00 147.92
Fractional coordinates of all 12 atoms:
Ba: 0.232 0.768 0.750
Ba: 0.768 0.232 0.250
Er: 0.500 0.500 0.000
Er: 0.500 0.500 0.500
Cu: 0.028 0.972 0.250
Cu: 0.972 0.028 0.750
Te: 0.139 0.861 0.059
Te: 0.139 0.861 0.441
Te: 0.861 0.139 0.559
Te: 0.861 0.139 0.941
Se: 0.437 0.563 0.250
Se: 0.563 0.437 0.750

Output
Raw total energy ... -0.344 Ry per atom


Computed, not measured: an optimized crystal structure of BaErCuTeSe2 at the PBE level of DFT.

abc: 7.675 7.675 11.031
angles: 90.00 90.00 148.34
Fractional coordinates of all 12 atoms:
Ba: 0.229 0.771 0.750
Ba: 0.771 0.229 0.250
Er: 0.000 0.000 0.000
Er: 0.000 0.000 0.500
Cu: 0.473 0.527 0.250
Cu: 0.527 0.473 0.750
Te: 0.084 0.916 0.250
Te: 0.916 0.084 0.750
Se: 0.376 0.624 0.066
Se: 0.376 0.624 0.434
Se: 0.624 0.376 0.566
Se: 0.624 0.376 0.934

Output
Raw total energy ... -0.355 Ry per atom